Entry 1:
{
  "formula": "MoBr2Cl",
  "functional": "GGA-PBE",
  "state": "optimized geometry",
  "space_group": "Cmmm (65)",
  "relative_energy_ev_per_atom": 1.047,
  "cell": [[5.295, 0.000, 0.000], [0.000, 8.210, 0.000], [0.000, 0.000, 4.839]],
  "species": ["Mo", "Mo", "Br", "Br", "Br", "Br", "Cl", "Cl"],
  "fractional_positions": [[0.000, 0.000, 0.000], [0.500, 0.500, 0.000], [0.250, 0.250, 0.500], [0.250, 0.750, 0.500], [0.750, 0.250, 0.500], [0.750, 0.750, 0.500], [0.000, 0.500, 0.000], [0.500, 0.000, 0.000]]
}

=====

Entry 2:
{
  "formula": "MoBrCl2",
  "functional": "GGA-PBE",
  "state": "optimized geometry",
  "space_group": "C2/m (12)",
  "relative_energy_ev_per_atom": 1.142,
  "cell": [[6.288, 0.000, 0.000], [0.000, 8.738, 0.000], [-3.067, 0.000, 3.518]],
  "species": ["Mo", "Mo", "Br", "Br", "Cl", "Cl", "Cl", "Cl"],
  "fractional_positions": [[0.000, 0.000, 0.000], [0.500, 0.500, 0.000], [0.000, 0.500, 0.000], [0.500, 0.000, 0.000], [0.250, 0.250, 0.500], [0.250, 0.750, 0.500], [0.750, 0.250, 0.500], [0.750, 0.750, 0.500]]
}

=====

Entry 3:
{
  "formula": "Mo3Br7Cl",
  "functional": "GGA-PBE",
  "state": "optimized geometry",
  "total_energy_ha_per_atom": -0.171,
  "space_group": "Cm (8)",
  "cell": [[6.082, -3.509, 0.000], [6.082, 3.509, 0.000], [-5.885, 0.000, 7.225]],
  "species": ["Mo", "Mo", "Mo", "Br", "Br", "Br", "Br", "Br", "Br", "Br", "Cl"],
  "fractional_positions": [[0.000, 0.000, 0.000], [0.000, 0.404, 0.000], [0.404, 0.000, 0.000], [0.045, 0.537, 0.804], [0.415, 0.415, 0.243], [0.416, 0.924, 0.242], [0.537, 0.045, 0.804], [0.537, 0.537, 0.804], [0.890, 0.890, 0.183], [0.924, 0.416, 0.242], [0.017, 0.017, 0.757]]
}

=====

The following total magnetic moment values (in μB/f.u.) correspond, in order, to the records above: 3.98; 3.78; 1.98.